A relaxed structure of TmScAg2. Source: Alexandria, functional GGA-PBE.

V: 21.747 Å³ per atom
Formation energy: -0.292 eV/atom
Space-group type: No. 225
Raw total energy: -0.3247 Ry/atom

a = 4.9734 Å, b = 4.9734 Å, c = 4.9734 Å
α = 60.00°, β = 60.00°, γ = 60.00°
Last column: nearest neighbours and their distance in Å.
Atoms (fractional coordinates):
Tm: 0.0000 0.0000 0.0000  8 Ag 3.05
Sc: 0.5000 0.5000 0.5000  8 Ag 3.05
Ag: 0.2500 0.2500 0.2500  4 Sc 3.05, 4 Tm 3.05
Ag: 0.7500 0.7500 0.7500  4 Tm 3.05, 4 Sc 3.05